Computed, not measured: crystalline Sm4HgIr at its relaxed geometry at the GGA-PBE level of DFT.

As for the volume: 27.73 Å³ per atom. Its crystal system is cubic. The spin magnetization is 0.00 Bohr magnetons per cell. The value obtained for the energy above the most stable polymorph in this dataset is 0.000 eV/atom.

The space group is F-43m (No. 216) and the conventional cell measures 13.8586, 13.8586 and 13.8586 Å, with angles of 90.00, 90.00 and 90.00 degrees. The distinct sites, in fractional coordinates, are Sm at (0.0000, 0.0000, 0.1889), Sm at (0.0593, 0.2500, 0.2500), Sm at (0.1003, 0.1003, 0.6003), Hg at (0.1660, 0.1660, 0.8340) and Ir at (0.1081, 0.1081, 0.3919).

Computed, not measured: crystalline Sr2As3Pd5 at its relaxed geometry at the GGA-PBE level of DFT.

As for the volume: 20.51 Å³ per atom. Its crystal system is orthorhombic. The spin magnetization is 0.00 Bohr magnetons per cell. The value obtained for the energy above the most stable polymorph in this dataset is 0.000 eV/atom.

The space group is Ibam (No. 72) and the conventional cell measures 10.0789, 12.6983 and 6.4087 Å, with angles of 90.00, 90.00 and 90.00 degrees. The distinct sites, in fractional coordinates, are Sr at (0.2437, 0.1279, 0.0000), As at (0.0000, 0.0000, 0.2500), As at (0.1340, 0.3792, 0.0000), Pd at (0.0000, 0.2744, 0.2500), Pd at (0.0000, 0.5000, 0.2500) and Pd at (0.1184, 0.1188, 0.5000).